# NaVCuO4 PBE+U relaxed
data_NaVCuO4
_symmetry_space_group_name_H-M 'P 1 21/m 1'
_symmetry_Int_Tables_number 11
_symmetry_space_group_name_Hall '-P 2yb'
_cell_length_a 5.9744
_cell_length_b 5.6171
_cell_length_c 6.2835
_cell_angle_alpha 90.00
_cell_angle_beta 109.40
_cell_angle_gamma 90.00
loop_
_atom_site_label
_atom_site_fract_x
_atom_site_fract_y
_atom_site_fract_z
Na1 0.2142 0.2500 0.4766
V1 0.2055 0.7500 0.1602
Cu1 0.4533 0.2500 0.0083
O1 0.0034 0.7500 0.9004
O2 0.0882 0.7500 0.3702
O3 0.4365 0.5209 0.1897
# Magnetization in μB/f.u.: 1.0
# VASP energy in Ry/atom: -0.44636
# ρ in g/cm³: 3.36
# D(E_F) in states/eV/f.u.: 0.19
# V in Å³ per cell: 199

=====

# NaVCu2O4 PBE+U relaxed
data_NaVCu2O4
_symmetry_space_group_name_H-M 'F m m 2'
_symmetry_Int_Tables_number 42
_symmetry_space_group_name_Hall 'F 2 -2'
_cell_length_a 7.0269
_cell_length_b 7.0407
_cell_length_c 8.1318
_cell_angle_alpha 90.00
_cell_angle_beta 90.00
_cell_angle_gamma 90.00
loop_
_atom_site_label
_atom_site_fract_x
_atom_site_fract_y
_atom_site_fract_z
Na1 0.0000 0.0000 0.0000
V1 0.0000 0.0000 0.4988
Cu1 0.2500 0.2500 0.2497
O1 0.0000 0.2052 0.6269
O2 0.2057 0.0000 0.3707
# Magnetization in μB/f.u.: 0.0
# VASP energy in Ry/atom: -0.43402
# ρ in g/cm³: 4.38
# V in Å³ per cell: 402